*a*
Compound: TaCuPb2
Source: Alexandria via LeMat-Bulk
Functional: SCAN
Structure: single point on PBEsol structure

Geometry as POSCAR:
```
TaCuPb2
1.0
3.282 0.000 0.000
0.000 3.867 0.000
0.000 0.000 6.292
Ta Cu Pb
1 1 2
Cartesian
0.000 0.000 0.000 Ta
0.000 0.000 3.146 Cu
1.641 1.934 1.631 Pb
1.641 1.934 4.661 Pb
```

Values from the calculation:
D(E_F)	2.33	states/eV/f.u.
magnetization	0.0	μB/f.u.
SG	Pmmm (47)

***

*b*
Compound: TaCuPb2
Source: Alexandria via LeMat-Bulk
Functional: SCAN
Structure: single point on PBEsol structure

Geometry as POSCAR:
```
TaCuPb2
1.0
-2.136 2.136 4.393
2.136 -2.136 4.393
2.136 2.136 -4.393
Ta Cu Pb
1 1 2
Cartesian
0.000 0.000 0.000 Ta
0.000 0.000 4.393 Cu
2.136 0.000 2.196 Pb
0.000 2.136 2.196 Pb
```

Values from the calculation:
D(E_F)	1.28	states/eV/f.u.
magnetization	0.0	μB/f.u.
SG	I4/mmm (139)

***

*c*
Compound: TaCuPb2
Source: Alexandria via LeMat-Bulk
Functional: SCAN
Structure: single point on PBEsol structure

Geometry as POSCAR:
```
TaCuPb2
1.0
-1.545 2.494 5.328
1.545 -2.494 5.328
1.545 2.494 -5.328
Ta Cu Pb
1 1 2
Cartesian
0.000 0.000 0.000 Ta
1.545 0.000 2.134 Cu
0.000 0.000 4.660 Pb
0.000 2.494 2.408 Pb
```

Values from the calculation:
D(E_F)	2.36	states/eV/f.u.
magnetization	0.0	μB/f.u.
SG	Imm2 (44)

***

Computed energies relative to the best structure, in meV/atom: *a* 95; *b* 174; *c* 0

***

*a*
Compound: CuTcPb2
Source: Alexandria via LeMat-Bulk
Functional: SCAN
Structure: single point on PBEsol structure

Geometry as POSCAR:
```
CuTcPb2
1.0
0.000 3.351 3.351
3.351 0.000 3.351
3.351 3.351 0.000
Cu Tc Pb
1 1 2
Cartesian
0.000 0.000 0.000 Cu
3.351 3.351 3.351 Tc
1.675 1.675 1.675 Pb
5.026 5.026 5.026 Pb
```

Values from the calculation:
D(E_F)	3.06	states/eV/f.u.
magnetization	0.0	μB/f.u.
SG	Fm-3m (225)

***

*b*
Compound: CuTcPb2
Source: Alexandria via LeMat-Bulk
Functional: SCAN
Structure: single point on PBEsol structure

Geometry as POSCAR:
```
CuTcPb2
1.0
3.462 0.000 0.000
0.000 3.462 0.000
0.000 0.000 6.200
Cu Tc Pb
1 1 2
Cartesian
0.000 0.000 0.000 Cu
0.000 0.000 3.100 Tc
1.731 1.731 1.547 Pb
1.731 1.731 4.653 Pb
```

Values from the calculation:
D(E_F)	1.50	states/eV/f.u.
magnetization	0.0	μB/f.u.
SG	P4/mmm (123)

***

*c*
Compound: CuTcPb2
Source: Alexandria via LeMat-Bulk
Functional: SCAN
Structure: single point on PBEsol structure

Geometry as POSCAR:
```
CuTcPb2
1.0
3.657 0.000 0.000
0.000 3.657 0.000
0.000 0.000 5.706
Cu Tc Pb
1 1 2
Cartesian
0.000 0.000 0.000 Cu
1.828 1.828 4.157 Tc
0.000 0.000 3.050 Pb
1.828 1.828 1.130 Pb
```

Values from the calculation:
D(E_F)	1.05	states/eV/f.u.
magnetization	0.0	μB/f.u.
SG	P4mm (99)

***

*d*
Compound: CuTcPb2
Source: Alexandria via LeMat-Bulk
Functional: SCAN
Structure: single point on PBEsol structure

Geometry as POSCAR:
```
CuTcPb2
1.0
-1.544 2.235 6.019
1.544 -2.235 6.019
1.544 2.235 -6.019
Cu Tc Pb
1 1 2
Cartesian
0.000 0.000 0.000 Cu
0.000 2.235 3.941 Tc
1.544 0.000 3.949 Pb
0.000 0.000 7.312 Pb
```

Values from the calculation:
D(E_F)	2.47	states/eV/f.u.
magnetization	0.0	μB/f.u.
SG	Imm2 (44)

***

Computed energies relative to the best structure, in meV/atom: *a* 231; *b* 53; *c* 21; *d* 0